1.
The following is a PBE calculation of a relaxed Tl2In3Hg8 crystal, from the Alexandria database.

Cell: 7.825 3.651 13.145 Å, 90.00 105.55 90.00°
Space group P2/m (No. 10)
Unique sites:
Tl1 0.192 0.000 0.197
In1 0.000 0.000 0.500
In2 0.124 0.500 0.723
Hg1 0.202 0.000 0.950
Hg2 0.295 0.500 0.426
Hg3 0.407 0.000 0.645
Hg4 0.496 0.500 0.122

Calculated values
For the spin magnetization, the calculation gives 0.00 Bohr magnetons per cell. Its energy above the most stable polymorph in this dataset is 0.00 kcal/mol of atoms. The crystal system is monoclinic.



2.
The following is a PBE calculation of a relaxed Tl2InHg crystal, from the Alexandria database.

Cell: 5.149 5.149 8.694 Å, 90.00 90.00 90.00°
Space group I4/mmm (No. 139)
Unique sites:
Tl1 0.000 0.500 0.250
In1 0.000 0.000 0.000
Hg1 0.000 0.000 0.500

Calculated values
For the spin magnetization, the calculation gives 0.00 Bohr magnetons per cell. Its energy above the most stable polymorph in this dataset is 0.43 kcal/mol of atoms. The crystal system is tetragonal.



3.
The following is a PBE calculation of a relaxed Tl2In3Hg4 crystal, from the Alexandria database.

Cell: 10.239 4.862 10.116 Å, 90.00 100.42 90.00°
Space group C2/m (No. 12)
Unique sites:
Tl1 0.166 0.000 0.225
In1 0.000 0.500 0.000
In2 0.166 0.000 0.564
Hg1 0.002 0.500 0.340
Hg2 0.166 0.000 0.892

Calculated values
For the spin magnetization, the calculation gives 0.00 Bohr magnetons per cell. For the final energy, the calculation gives -28.2 eV for the cell shown. The crystal system is monoclinic.



4.
The following is a PBE calculation of a relaxed TlInHg crystal, from the Alexandria database.

Cell: 5.5265 5.5265 6.4727 Å, 90.00 90.00 120.00°
Space group P6_3/mmc (No. 194)
Unique sites:
Tl1 0.3333 0.6667 0.2500
In1 0.3333 0.6667 0.7500
Hg1 0.0000 0.0000 0.0000

Calculated values
For the spin magnetization, the calculation gives 0.00 Bohr magnetons per cell. For the final energy, the calculation gives -10.4 eV for the cell shown. The crystal system is hexagonal.



5.
The following is a PBE calculation of a relaxed TlIn8Hg3 crystal, from the Alexandria database.

Cell: 26.000 3.156 8.228 Å, 90.00 100.29 90.00°
Space group Cm (No. 8)
Unique sites:
Tl1 0.000 0.000 0.000
In1 0.038 0.000 0.640
In2 0.079 0.500 0.332
In3 0.164 0.000 0.658
In4 0.203 0.500 0.332
In5 0.243 0.500 0.979
In6 0.371 0.500 0.993
In7 0.412 0.500 0.644
In8 0.451 0.000 0.320
Hg1 0.120 0.500 0.979
Hg2 0.289 0.500 0.658
Hg3 0.327 0.500 0.316

Calculated values
For the spin magnetization, the calculation gives 0.00 Bohr magnetons per cell. For the final energy, the calculation gives -49.6 eV for the cell shown. The crystal system is monoclinic.



6.
The following is a PBE calculation of a relaxed TlInHg crystal, from the Alexandria database.

Cell: 9.501 4.999 8.864 Å, 90.00 120.56 90.00°
Space group C2/m (No. 12)
Unique sites:
Tl1 0.085 0.000 0.373
In1 0.190 0.500 0.858
Hg1 0.160 0.500 0.199

Calculated values
For the spin magnetization, the calculation gives 0.00 Bohr magnetons per cell. For the final energy, the calculation gives -21.2 eV for the cell shown. The crystal system is monoclinic.



7.
The following is a PBE calculation of a relaxed Tl12InHg6 crystal, from the Alexandria database.

Cell: 14.7186 14.7186 9.3227 Å, 90.00 90.00 120.00°
Space group R-3 (No. 148, hexagonal axes)
Unique sites:
Tl1 0.0000 0.2715 0.0005
Tl2 0.1002 0.5497 0.0909
In1 0.0000 0.0000 0.0000
Hg1 0.0851 0.1709 0.7684

Calculated values
For the spin magnetization, the calculation gives 0.00 Bohr magnetons per cell. Its energy above the most stable polymorph in this dataset is 0.30 kcal/mol of atoms. The crystal system is trigonal.



8.
The following is a PBE calculation of a relaxed TlIn2Hg2 crystal, from the Alexandria database.

Cell: 3.833 21.449 3.390 Å, 90.00 90.00 90.00°
Space group Cmmm (No. 65)
Unique sites:
Tl1 0.000 0.000 0.000
In1 0.000 0.192 0.000
Hg1 0.000 0.396 0.500

Calculated values
For the spin magnetization, the calculation gives 0.00 Bohr magnetons per cell. Its energy above the most stable polymorph in this dataset is 0.22 kcal/mol of atoms. The crystal system is orthorhombic.



9.
The following is a PBE calculation of a relaxed Tl3In3Hg5 crystal, from the Alexandria database.

Cell: 10.5226 10.5226 3.4838 Å, 90.00 90.00 120.00°
Space group P-62m (No. 189)
Unique sites:
Tl1 0.0000 0.4219 0.0000
In1 0.0000 0.1722 0.5000
Hg1 0.0000 0.6687 0.5000
Hg2 0.3333 0.6667 0.5000

Calculated values
For the spin magnetization, the calculation gives 0.00 Bohr magnetons per cell. For the final energy, the calculation gives -16.0 eV for the cell shown. The crystal system is hexagonal.



10.
The following is a PBE calculation of a relaxed Tl8In2Hg3 crystal, from the Alexandria database.

Cell: 16.185 6.684 8.505 Å, 90.00 119.63 90.00°
Space group C2/m (No. 12)
Unique sites:
Tl1 0.083 0.000 0.236
Tl2 0.137 0.239 0.925
Tl3 0.249 0.500 0.330
In1 0.183 0.500 0.636
Hg1 0.000 0.234 0.500
Hg2 0.000 0.500 0.000

Calculated values
For the spin magnetization, the calculation gives 0.00 Bohr magnetons per cell. Its energy above the most stable polymorph in this dataset is 0.00 kcal/mol of atoms. The crystal system is monoclinic.



11.
The following is a PBE calculation of a relaxed TlIn9Hg2 crystal, from the Alexandria database.

Cell: 10.9161 10.9161 3.1861 Å, 90.00 90.00 120.00°
Space group P6/mmm (No. 191)
Unique sites:
Tl1 0.0000 0.0000 0.0000
In1 0.0000 0.5000 0.0000
In2 0.1731 0.3462 0.5000
Hg1 0.3333 0.6667 0.0000

Calculated values
For the spin magnetization, the calculation gives 0.00 Bohr magnetons per cell. Its energy above the most stable polymorph in this dataset is 0.00 kcal/mol of atoms. The crystal system is hexagonal.



12.
The following is a PBE calculation of a relaxed TlIn5Hg3 crystal, from the Alexandria database.

Cell: 6.963 8.521 9.191 Å, 102.03 108.32 99.21°
Space group P-1 (No. 2)
Unique sites:
Tl1 0.000 0.000 0.000
Tl2 0.500 0.000 0.000
In1 0.065 0.908 0.646
In2 0.098 0.737 0.310
In3 0.165 0.649 0.969
In4 0.283 0.404 0.328
In5 0.401 0.258 0.673
Hg1 0.226 0.582 0.643
Hg2 0.332 0.334 0.996
Hg3 0.431 0.074 0.341

Calculated values
For the spin magnetization, the calculation gives 0.00 Bohr magnetons per cell. For the final energy, the calculation gives -33.6 eV for the cell shown. The crystal system is triclinic.



13.
The following is a PBE calculation of a relaxed Tl7In2Hg3 crystal, from the Alexandria database.

Cell: 4.569 4.569 34.559 Å, 90.00 90.00 90.00°
Space group I4/mmm (No. 139)
Unique sites:
Tl1 0.000 0.000 0.000
Tl2 0.000 0.000 0.255
Tl3 0.000 0.500 0.082
In1 0.000 0.000 0.163
Hg1 0.000 0.000 0.343
Hg2 0.000 0.000 0.500

Calculated values
For the spin magnetization, the calculation gives 0.00 Bohr magnetons per cell. For the final energy, the calculation gives -44.9 eV for the cell shown. The crystal system is tetragonal.



14.
The following is a PBE calculation of a relaxed TlInHg2 crystal, from the Alexandria database.

Cell: 3.757 5.677 10.504 Å, 90.00 90.00 90.00°
Space group Immm (No. 71)
Unique sites:
Tl1 0.000 0.000 0.000
In1 0.000 0.000 0.500
Hg1 0.000 0.500 0.242

Calculated values
For the spin magnetization, the calculation gives 0.00 Bohr magnetons per cell. For the final energy, the calculation gives -11.3 eV for the cell shown. The crystal system is orthorhombic.



15.
The following is a PBE calculation of a relaxed Tl3In7Hg2 crystal, from the Alexandria database.

Cell: 5.863 3.371 17.263 Å, 90.00 95.71 90.00°
Space group P2/m (No. 10)
Unique sites:
Tl1 0.000 0.000 0.000
Tl2 0.244 0.500 0.351
In1 0.122 0.500 0.837
In2 0.254 0.000 0.524
In3 0.367 0.000 0.165
In4 0.500 0.500 0.000
Hg1 0.265 0.000 0.694

Calculated values
For the spin magnetization, the calculation gives 0.00 Bohr magnetons per cell. For the final energy, the calculation gives -26.7 eV for the cell shown. The crystal system is monoclinic.



16.
The following is a PBE calculation of a relaxed TlInHg crystal, from the Alexandria database.

Cell: 3.555 5.494 8.929 Å, 79.18 89.15 88.54°
Space group P-1 (No. 2)
Unique sites:
Tl1 0.216 0.263 0.361
In1 0.245 0.749 0.978
Hg1 0.296 0.230 0.718

Calculated values
For the spin magnetization, the calculation gives 0.00 Bohr magnetons per cell. For the final energy, the calculation gives -10.8 eV for the cell shown. The crystal system is triclinic.



17.
The following is a PBE calculation of a relaxed Tl2In3Hg8 crystal, from the Alexandria database.

Cell: 18.592 6.489 6.054 Å, 90.00 95.30 90.00°
Space group C2/m (No. 12)
Unique sites:
Tl1 0.170 0.000 0.289
In1 0.000 0.000 0.500
In2 0.000 0.237 0.000
Hg1 0.069 0.500 0.381
Hg2 0.144 0.259 0.788
Hg3 0.218 0.500 0.223

Calculated values
For the spin magnetization, the calculation gives 0.00 Bohr magnetons per cell. Its energy above the most stable polymorph in this dataset is 0.22 kcal/mol of atoms. The crystal system is monoclinic.



18.
The following is a PBE calculation of a relaxed Tl16In12Hg crystal, from the Alexandria database.

Cell: 11.956 16.945 10.372 Å, 90.00 125.19 90.00°
Space group Cm (No. 8)
Unique sites:
Tl1 0.000 0.000 0.000
Tl2 0.003 0.000 0.641
Tl3 0.055 0.342 0.036
Tl4 0.135 0.500 0.286
Tl5 0.160 0.162 0.243
Tl6 0.181 0.500 0.929
Tl7 0.184 0.180 0.640
Tl8 0.303 0.302 0.962
Tl9 0.464 0.139 0.636
Tl10 0.485 0.196 0.323
In1 0.007 0.186 0.828
In2 0.197 0.000 0.455
In3 0.227 0.410 0.644
In4 0.275 0.093 0.011
In5 0.319 0.317 0.454
In6 0.364 0.000 0.817
In7 0.411 0.407 0.276
Hg1 0.387 0.000 0.343

Calculated values
For the spin magnetization, the calculation gives 0.00 Bohr magnetons per cell. For the final energy, the calculation gives -141.5 eV for the cell shown. The crystal system is monoclinic.



19.
The following is a PBE calculation of a relaxed Tl7InHg3 crystal, from the Alexandria database.

Cell: 6.184 6.972 8.213 Å, 75.64 71.88 88.57°
Space group P1 (No. 1)
Unique sites:
Tl1 0.000 0.000 0.000
Tl2 0.052 0.887 0.585
Tl3 0.219 0.522 0.881
Tl4 0.424 0.137 0.157
Tl5 0.629 0.745 0.424
Tl6 0.781 0.372 0.726
Tl7 0.853 0.273 0.305
In1 0.322 0.310 0.540
Hg1 0.181 0.649 0.274
Hg2 0.517 0.958 0.762
Hg3 0.672 0.627 0.026

Calculated values
For the spin magnetization, the calculation gives 0.00 Bohr magnetons per cell. Its energy above the most stable polymorph in this dataset is 0.00 kcal/mol of atoms. The crystal system is triclinic.



20.
The following is a PBE calculation of a relaxed Tl4InHg4 crystal, from the Alexandria database.

Cell: 9.250 9.250 6.128 Å, 90.00 90.00 90.00°
Space group P4_2/n (No. 86, origin choice 2)
Unique sites:
Tl1 0.084 0.830 0.096
In1 0.250 0.250 0.750
Hg1 0.057 0.144 0.382

Calculated values
For the spin magnetization, the calculation gives 0.00 Bohr magnetons per cell. Its energy above the most stable polymorph in this dataset is 0.00 kcal/mol of atoms. The crystal system is tetragonal.